No. 1
HfCrSi: relaxed, PBE-GGA.

Results
* spin magnetization: 0.0 μB per cell
* final energy: -25.76 eV for the cell shown
* uncorrected formation energy: -253 meV per atom
* D(E_F): 2.28 states/eV/cell
* space group: I4mm

a b c (Å): 3.2042 3.2042 5.0155
angles (deg): 108.63 108.63 90.00
Positions (direct):
Cr 0.9280 0.9280 0.8559
Si 0.3082 0.3082 0.6163
Hf 0.6139 0.6139 0.2278

No. 2
HfCrSi: relaxed, PBE-GGA.

Results
* spin magnetization: 0.0 μB per cell
* final energy: -104.07 eV for the cell shown
* uncorrected formation energy: -339 meV per atom
* D(E_F): 7.19 states/eV/cell
* space group: Imm2

a b c (Å): 6.1336 4.0417 7.5320
angles (deg): 90.00 90.00 90.00
Positions (direct):
Cr 0.3399 0.0000 0.6730
Cr 0.6601 0.0000 0.6730
Cr 0.8399 0.5000 0.1730
Cr 0.1601 0.5000 0.1730
Si 0.7950 0.0000 0.3598
Si 0.2050 0.0000 0.3598
Si 0.2950 0.5000 0.8598
Si 0.7050 0.5000 0.8598
Hf 0.0000 0.0000 0.9366
Hf 0.5000 0.5000 0.4366
Hf 0.0000 0.5000 0.5635
Hf 0.5000 0.0000 0.0635

No. 3
HfCrSi: relaxed, PBE-GGA.

Results
* spin magnetization: 0.0 μB per cell
* final energy: -103.49 eV for the cell shown
* uncorrected formation energy: -291 meV per atom
* D(E_F): 8.10 states/eV/cell
* space group: Cm

a b c (Å): 5.3806 4.1092 8.7778
angles (deg): 90.00 103.81 90.00
Positions (direct):
Cr 0.0422 0.0000 0.6501
Cr 0.0422 0.5000 0.1501
Cr 0.8594 0.0000 0.3754
Cr 0.8594 0.5000 0.8754
Si 0.2580 0.0000 0.2735
Si 0.2580 0.5000 0.7735
Si 0.7717 0.0000 0.0518
Si 0.7717 0.5000 0.5518
Hf 0.5744 0.0000 0.7037
Hf 0.5744 0.5000 0.2037
Hf 0.2197 0.0000 0.9662
Hf 0.2197 0.5000 0.4662

No. 4
Hf2Cr4Si5: relaxed, PBE-GGA.

Results
* spin magnetization: 0.0 μB per cell
* final energy: -183.27 eV for the cell shown
* uncorrected formation energy: -556 meV per atom
* D(E_F): 13.02 states/eV/cell
* space group: Ibam

a b c (Å): 9.2082 9.2082 9.2082
angles (deg): 149.02 131.48 58.69
Positions (direct):
Hf 0.7380 0.3586 0.3794
Hf 0.2620 0.6414 0.6206
Hf 0.9791 0.8586 0.1206
Hf 0.0209 0.1414 0.8794
Cr 0.3081 0.5581 0.2500
Cr 0.6919 0.4419 0.7500
Cr 0.6919 0.9419 0.2500
Cr 0.3081 0.0581 0.7500
Cr 0.3142 0.0623 0.2519
Cr 0.6858 0.9377 0.7481
Cr 0.8104 0.5623 0.2481
Cr 0.1896 0.4377 0.7519
Si 0.4200 0.2111 0.2089
Si 0.5800 0.7889 0.7911
Si 0.0022 0.7111 0.2911
Si 0.9978 0.2889 0.7089
Si 0.0000 0.2500 0.2500
Si 0.0000 0.7500 0.7500
Si 0.5100 0.4359 0.0741
Si 0.4900 0.5641 0.9259
Si 0.3619 0.9359 0.4259
Si 0.6381 0.0641 0.5741

No. 5
HfCrSi: relaxed, PBE-GGA.

Results
* spin magnetization: 0.0 μB per cell
* final energy: -105.59 eV for the cell shown
* uncorrected formation energy: -466 meV per atom
* D(E_F): 4.89 states/eV/cell
* space group: Immm

a b c (Å): 10.5521 5.2361 3.3542
angles (deg): 90.00 90.00 90.00
Positions (direct):
Cr 0.0000 0.2721 0.5000
Cr 0.0000 0.7279 0.5000
Cr 0.5000 0.7721 0.0000
Cr 0.5000 0.2279 0.0000
Si 0.1117 0.0000 0.0000
Si 0.8883 0.0000 0.0000
Si 0.6117 0.5000 0.5000
Si 0.3883 0.5000 0.5000
Hf 0.8098 0.5000 0.0000
Hf 0.1902 0.5000 0.0000
Hf 0.3098 0.0000 0.5000
Hf 0.6902 0.0000 0.5000

No. 6
Hf6Cr5Si7: relaxed, PBE-GGA.

Results
* spin magnetization: 0.0 μB per cell
* final energy: -629.12 eV for the cell shown
* uncorrected formation energy: -638 meV per atom
* D(E_F): 47.02 states/eV/cell
* space group: Pnma

a b c (Å): 5.0901 13.2080 16.2816
angles (deg): 90.00 90.00 90.00
Positions (direct):
Hf 0.2500 0.1818 0.2902
Hf 0.7500 0.8182 0.7098
Hf 0.7500 0.6818 0.2098
Hf 0.2500 0.3182 0.7902
Hf 0.2500 0.8174 0.1499
Hf 0.7500 0.1826 0.8501
Hf 0.7500 0.3174 0.3501
Hf 0.2500 0.6826 0.6499
Hf 0.2500 0.9685 0.6760
Hf 0.7500 0.0315 0.3240
Hf 0.7500 0.4685 0.8240
Hf 0.2500 0.5315 0.1760
Hf 0.2500 0.7313 0.4433
Hf 0.7500 0.2687 0.5567
Hf 0.7500 0.2313 0.0567
Hf 0.2500 0.7687 0.9433
Hf 0.2500 0.9718 0.4371
Hf 0.7500 0.0282 0.5629
Hf 0.7500 0.4718 0.0629
Hf 0.2500 0.5282 0.9371
Hf 0.2500 0.3505 0.4651
Hf 0.7500 0.6495 0.5349
Hf 0.7500 0.8505 0.0349
Hf 0.2500 0.1495 0.9651
Cr 0.2500 0.1445 0.5636
Cr 0.7500 0.8555 0.4364
Cr 0.7500 0.6445 0.9364
Cr 0.2500 0.3555 0.0636
Cr 0.5017 0.1614 0.6852
Cr 0.0017 0.8386 0.3148
Cr 0.4983 0.6614 0.8148
Cr 0.9983 0.3386 0.1852
Cr 0.4983 0.8386 0.3148
Cr 0.9983 0.1614 0.6852
Cr 0.5017 0.3386 0.1852
Cr 0.0017 0.6614 0.8148
Cr 0.5129 0.0395 0.1300
Cr 0.0129 0.9605 0.8700
Cr 0.4871 0.5395 0.3700
Cr 0.9871 0.4605 0.6300
Cr 0.4871 0.9605 0.8700
Cr 0.9871 0.0395 0.1300
Cr 0.5129 0.4605 0.6300
Cr 0.0129 0.5395 0.3700
Si 0.4961 0.8409 0.5617
Si 0.9961 0.1591 0.4383
Si 0.5039 0.3409 0.9383
Si 0.0039 0.6591 0.0617
Si 0.5039 0.1591 0.4383
Si 0.0039 0.8409 0.5617
Si 0.4961 0.6591 0.0617
Si 0.9961 0.3409 0.9383
Si 0.2500 0.9800 0.2582
Si 0.7500 0.0200 0.7418
Si 0.7500 0.4800 0.2418
Si 0.2500 0.5200 0.7582
Si 0.2500 0.8190 0.7851
Si 0.7500 0.1810 0.2149
Si 0.7500 0.3190 0.7149
Si 0.2500 0.6810 0.2851
Si 0.2500 0.1938 0.1257
Si 0.7500 0.8062 0.8743
Si 0.7500 0.6938 0.3743
Si 0.2500 0.3062 0.6257
Si 0.2500 0.1072 0.8048
Si 0.7500 0.8928 0.1952
Si 0.7500 0.6072 0.6952
Si 0.2500 0.3928 0.3048
Si 0.2500 0.9515 0.0157
Si 0.7500 0.0485 0.9843
Si 0.7500 0.4515 0.4843
Si 0.2500 0.5485 0.5157